--- 1 ---
The following is a DFT calculation (PBE) of crystalline Ba2ZnAsH at its relaxed geometry.

Calculated values
symmetry = No. 123
crystal system = tetragonal

Cell: 6.3548 4.7039 6.3548 Å, 90.00 90.00 90.00°
Last column: nearest neighbours and their distance in Å.
Fractional positions:
Zn 0.0000 0.5000 0.0000  2 As 2.35
As 0.0000 0.0000 0.0000  2 Zn 2.35
Ba 0.0000 0.0000 0.5000  2 As 3.18
Ba 0.5000 0.0000 0.0000  2 As 3.18
H 0.5000 0.5000 0.5000  8 Ba 3.95



--- 2 ---
The following is a DFT calculation (PBE) of crystalline Ba2ZnAsH at its relaxed geometry.

Calculated values
symmetry = No. 123
crystal system = tetragonal

Cell: 5.4274 5.4274 4.4677 Å, 90.00 90.00 90.00°
Last column: nearest neighbours and their distance in Å.
Fractional positions:
Zn 0.0000 0.0000 0.5000  2 H 2.23
As 0.5000 0.5000 0.5000  8 Ba 3.51, 4 Zn 3.84
Ba 0.0000 0.5000 0.0000  2 H 2.71
Ba 0.5000 0.0000 0.0000  2 H 2.71
H 0.0000 0.0000 0.0000  2 Zn 2.23



Pick the least stable structure from those above. Pick: 1